1.
Material: LaBeMo3
Method: DFT, SCAN
State: PBEsol geometry

Output
Excess energy over the best structure of this formula in the dataset   0 meV/atom

Cell: 4.445 4.445 4.445 Å, 90.00 90.00 90.00°
Sites, in units of the cell vectors:
La 0.000 0.000 0.000
Be 0.500 0.500 0.500
Mo 0.000 0.500 0.500
Mo 0.500 0.000 0.500
Mo 0.500 0.500 0.000

=====

2.
Material: LaBeMo2
Method: DFT, SCAN
State: PBEsol geometry

Output
Final energy   -28.975 eV per atom

Cell: 3.245 3.245 6.783 Å, 90.00 90.00 90.00°
Sites, in units of the cell vectors:
La 0.000 0.000 0.000
Be 0.000 0.000 0.500
Mo 0.500 0.500 0.339
Mo 0.500 0.500 0.661

=====

3.
Material: LaBeMo2
Method: DFT, SCAN
State: PBEsol geometry

Output
Final energy   -28.925 eV per atom

Cell: 4.343 4.343 5.768 Å, 101.04 101.04 44.79°
Sites, in units of the cell vectors:
La 0.000 0.000 0.000
Be 0.737 0.737 0.349
Mo 0.201 0.201 0.643
Mo 0.457 0.457 0.465

=====

4.
Material: La3BeN
Method: DFT, SCAN
State: PBEsol geometry

Output
E_form (uncorrected)   0.91 eV per atom

Cell: 5.065 5.065 5.065 Å, 90.00 90.00 90.00°
Sites, in units of the cell vectors:
La 0.000 0.000 0.500
La 0.000 0.500 0.000
La 0.500 0.000 0.000
Be 0.000 0.000 0.000
N 0.500 0.500 0.500

=====

5.
Material: LaBe3N
Method: DFT, SCAN
State: PBEsol geometry

Output
E_form (uncorrected)   2.86 eV per atom

Cell: 5.509 5.509 5.509 Å, 90.00 90.00 90.00°
Sites, in units of the cell vectors:
La 0.000 0.000 0.000
Be 0.000 0.000 0.500
Be 0.000 0.500 0.000
Be 0.500 0.000 0.000
N 0.500 0.500 0.500

=====

6.
Material: LaBeNO2
Method: DFT, SCAN
State: PBEsol geometry

Output
E_form (uncorrected)   -1.87 eV per atom

Cell: 3.763 3.763 3.559 Å, 90.00 90.00 90.00°
Sites, in units of the cell vectors:
La 0.000 0.000 0.000
Be 0.500 0.500 0.500
N 0.500 0.500 0.000
O 0.000 0.500 0.500
O 0.500 0.000 0.500

=====

7.
Material: NaLa2BePt
Method: DFT, SCAN
State: PBEsol geometry

Output
Final energy   -33.207 eV per atom

Cell: 5.538 5.538 4.208 Å, 90.00 90.00 90.00°
Sites, in units of the cell vectors:
Na 0.000 0.000 0.000
La 0.000 0.500 0.500
La 0.500 0.000 0.500
Be 0.500 0.500 0.500
Pt 0.500 0.500 0.000

=====

8.
Material: LaBeNbSi2
Method: DFT, SCAN
State: PBEsol geometry

Output
E_form (uncorrected)   1.90 eV per atom

Cell: 5.058 5.058 4.504 Å, 90.00 90.00 90.00°
Sites, in units of the cell vectors:
La 0.000 0.000 0.000
Be 0.000 0.000 0.500
Nb 0.500 0.500 0.500
Si 0.000 0.500 0.000
Si 0.500 0.000 0.000

=====

9.
Material: LaTaBeNb2
Method: DFT, SCAN
State: PBEsol geometry

Output
Final energy   -34.553 eV per atom

Cell: 4.891 4.891 5.441 Å, 90.00 90.00 90.00°
Sites, in units of the cell vectors:
La 0.000 0.000 0.000
Ta 0.000 0.000 0.500
Be 0.500 0.500 0.000
Nb 0.000 0.500 0.500
Nb 0.500 0.000 0.500

=====

10.
Material: LaBe2Ni
Method: DFT, SCAN
State: PBEsol geometry

Output
Excess energy over the best structure of this formula in the dataset   551 meV/atom

Cell: 4.465 4.465 4.465 Å, 60.00 60.00 60.00°
Sites, in units of the cell vectors:
La 0.000 0.000 0.000
Be 0.500 0.500 0.500
Be 0.750 0.750 0.750
Ni 0.250 0.250 0.250

=====

11.
Material: LaBe2Ni
Method: DFT, SCAN
State: PBEsol geometry

Output
Excess energy over the best structure of this formula in the dataset   0 meV/atom

Cell: 5.565 5.565 5.565 Å, 39.32 39.32 39.32°
Sites, in units of the cell vectors:
La 0.000 0.000 0.000
Be 0.188 0.188 0.188
Be 0.812 0.812 0.812
Ni 0.500 0.500 0.500

=====

12.
Material: LaBe3Ni
Method: DFT, SCAN
State: PBEsol geometry

Output
Final energy   -12.021 eV per atom

Cell: 4.721 4.721 4.721 Å, 90.00 90.00 90.00°
Sites, in units of the cell vectors:
La 0.000 0.000 0.000
Be 0.000 0.000 0.500
Be 0.000 0.500 0.000
Be 0.500 0.000 0.000
Ni 0.500 0.500 0.500

=====

13.
Material: LaBe2Ni
Method: DFT, SCAN
State: PBEsol geometry

Output
Excess energy over the best structure of this formula in the dataset   0 meV/atom

Cell: 3.816 3.816 5.220 Å, 104.93 104.93 60.91°
Sites, in units of the cell vectors:
La 0.000 0.000 0.000
Be 0.462 0.462 0.499
Be 0.778 0.778 0.446
Ni 0.139 0.139 0.546

=====

14.
Material: LaBe2Ni
Method: DFT, SCAN
State: PBEsol geometry

Output
Excess energy over the best structure of this formula in the dataset   548 meV/atom

Cell: 4.429 4.429 4.429 Å, 60.00 60.00 60.00°
Sites, in units of the cell vectors:
La 0.000 0.000 0.000
Be 0.250 0.250 0.250
Be 0.750 0.750 0.750
Ni 0.500 0.500 0.500

=====

15.
Material: La3BeO
Method: DFT, SCAN
State: PBEsol geometry

Output
E_form (uncorrected)   -1.10 eV per atom

Cell: 4.916 4.916 4.916 Å, 90.00 90.00 90.00°
Sites, in units of the cell vectors:
La 0.000 0.000 0.500
La 0.000 0.500 0.000
La 0.500 0.000 0.000
Be 0.500 0.500 0.500
O 0.000 0.000 0.000

=====

16.
Material: La2Be2O5
Method: DFT, SCAN
State: PBEsol geometry

Output
E_form (uncorrected)   -3.42 eV per atom

Cell: 5.234 5.234 7.380 Å, 91.00 91.00 88.44°
Sites, in units of the cell vectors:
La 0.202 0.274 0.196
La 0.274 0.202 0.696
La 0.726 0.798 0.304
La 0.798 0.726 0.804
Be 0.251 0.689 0.530
Be 0.311 0.749 0.970
Be 0.689 0.251 0.030
Be 0.749 0.311 0.470
O 0.000 0.500 0.500
O 0.054 0.744 0.085
O 0.248 0.752 0.750
O 0.256 0.946 0.415
O 0.500 0.000 0.000
O 0.500 0.500 0.000
O 0.500 0.500 0.500
O 0.744 0.054 0.585
O 0.752 0.248 0.250
O 0.946 0.256 0.915

=====

17.
Material: LaBe3O
Method: DFT, SCAN
State: PBEsol geometry

Output
E_form (uncorrected)   0.39 eV per atom

Cell: 4.088 4.088 4.088 Å, 90.00 90.00 90.00°
Sites, in units of the cell vectors:
La 0.000 0.000 0.000
Be 0.000 0.500 0.500
Be 0.500 0.000 0.500
Be 0.500 0.500 0.000
O 0.500 0.500 0.500

=====

18.
Material: LaSc2BeO
Method: DFT, SCAN
State: PBEsol geometry

Output
E_form (uncorrected)   -0.65 eV per atom

Cell: 4.316 4.316 5.080 Å, 90.00 90.00 90.00°
Sites, in units of the cell vectors:
La 0.000 0.000 0.000
Sc 0.000 0.500 0.500
Sc 0.500 0.000 0.500
Be 0.500 0.500 0.000
O 0.500 0.500 0.500

=====

19.
Material: SrLa2BeO5
Method: DFT, SCAN
State: PBEsol geometry

Output
E_form (uncorrected)   -3.46 eV per atom

Cell: 9.629 6.609 7.344 Å, 90.00 90.00 90.00°
Sites, in units of the cell vectors:
Sr 0.175 0.082 0.000
Sr 0.325 0.582 0.500
Sr 0.675 0.418 0.000
Sr 0.825 0.918 0.500
La 0.024 0.596 0.766
La 0.171 0.073 0.549
La 0.329 0.573 0.049
La 0.476 0.096 0.266
La 0.524 0.904 0.766
La 0.671 0.427 0.549
La 0.829 0.927 0.049
La 0.976 0.404 0.266
Be 0.102 0.808 0.269
Be 0.398 0.308 0.769
Be 0.602 0.692 0.269
Be 0.898 0.192 0.769
O 0.012 0.020 0.270
O 0.068 0.696 0.460
O 0.069 0.689 0.079
O 0.225 0.339 0.261
O 0.227 0.363 0.768
O 0.273 0.863 0.268
O 0.275 0.839 0.761
O 0.431 0.189 0.579
O 0.432 0.196 0.960
O 0.488 0.520 0.770
O 0.512 0.480 0.270
O 0.568 0.804 0.460
O 0.569 0.811 0.079
O 0.725 0.161 0.261
O 0.727 0.137 0.768
O 0.773 0.637 0.268
O 0.775 0.661 0.761
O 0.931 0.311 0.579
O 0.932 0.304 0.960
O 0.988 0.980 0.770

=====

20.
Material: LaBeOs2
Method: DFT, SCAN
State: PBEsol geometry

Output
Final energy   -48.066 eV per atom

Cell: 5.662 5.662 5.662 Å, 43.71 43.71 43.71°
Sites, in units of the cell vectors:
La 0.000 0.000 0.000
Be 0.814 0.814 0.814
Os 0.187 0.187 0.187
Os 0.502 0.502 0.502

=====

no.,DOS(E_F) (states/eV/atom)
1,1.3210
2,0.8429
3,0.6889
4,0.7060
5,1.0990
6,0.1390
7,0.9178
8,0.5097
9,0.9916
10,0.9896
11,0.7839
12,1.0124
13,0.6692
14,0.9168
15,0.7037
16,0.0000
17,0.7299
18,1.1621
19,0.0000
20,0.6925